[1]
## LaSi3Pt (PBE-GGA)

Data for a relaxed LaSi3Pt crystal.

Cell and atoms, written as extended XYZ:
```
10
Lattice="6.008 0.000 0.000 0.000 5.679 0.000 0.000 0.000 5.866" Properties=species:S:1:pos:R:3 pbc="T T T"
La 0.000 0.800 0.000
La 3.004 4.879 2.933
Si 0.000 5.408 3.057
Si 1.235 1.818 2.906
Si 1.769 3.861 5.839
Si 3.004 0.271 0.123
Si 4.239 3.861 5.839
Si 4.772 1.818 2.906
Pt 0.000 3.505 1.573
Pt 3.004 2.174 4.506
```

Computed properties:
Symmetry: Pmn2_1
Calculated total energy (eV per atom): -6.1644

[2]
## La4SiPt3 (PBE-GGA)

Data for a relaxed La4SiPt3 crystal.

Cell and atoms, written as extended XYZ:
```
8
Lattice="4.128 0.000 0.000 0.000 4.407 0.000 0.000 0.000 11.306" Properties=species:S:1:pos:R:3 pbc="T T T"
La 0.000 0.000 0.000
La 0.000 2.204 3.068
La 2.064 0.000 5.608
La 2.064 2.204 8.733
Si 0.000 0.000 7.985
Pt 0.000 2.204 6.304
Pt 2.064 0.000 2.544
Pt 2.064 2.204 0.479
```

Computed properties:
Symmetry: Pmm2
Calculated total energy (eV per atom): -6.4702

[3]
## LaSiPt2 (PBE-GGA)

Data for a relaxed LaSiPt2 crystal.

Cell and atoms, written as extended XYZ:
```
8
Lattice="-2.525 2.525 7.612 2.525 -2.525 7.612 2.525 2.525 -7.612" Properties=species:S:1:pos:R:3 pbc="T T T"
La 0.000 0.000 0.000
La 0.000 2.525 3.806
Si 2.525 0.000 3.806
Si 0.000 0.000 7.612
Pt 1.262 -0.582 5.709
Pt 1.943 1.262 1.903
Pt 1.262 3.107 -1.903
Pt 0.582 1.262 9.516
```

Computed properties:
Symmetry: I-42d
Calculated total energy (eV per atom): -6.4228

[4]
## LaSi2Pt2 (PBE-GGA)

Data for a relaxed LaSi2Pt2 crystal.

Cell and atoms, written as extended XYZ:
```
10
Lattice="7.773 0.000 0.000 0.000 7.773 0.000 0.000 0.000 2.980" Properties=species:S:1:pos:R:3 pbc="T T T"
La 0.000 0.000 0.000
La 3.886 3.886 0.000
Si 1.024 2.862 0.000
Si 2.862 6.748 0.000
Si 4.911 1.024 0.000
Si 6.748 4.911 0.000
Pt 1.103 4.989 1.490
Pt 2.784 1.103 1.490
Pt 4.989 6.670 1.490
Pt 6.670 2.784 1.490
```

Computed properties:
Symmetry: P4/mbm
Calculated total energy (eV per atom): -6.0649

[5]
## LaSiPt2 (PBE-GGA)

Data for a relaxed LaSiPt2 crystal.

Cell and atoms, written as extended XYZ:
```
4
Lattice="0.000 3.397 3.397 3.397 0.000 3.397 3.397 3.397 0.000" Properties=species:S:1:pos:R:3 pbc="T T T"
La 0.000 0.000 0.000
Si 5.096 5.096 5.096
Pt 1.699 1.699 1.699
Pt 3.397 3.397 3.397
```

Computed properties:
Symmetry: F-43m
Calculated total energy (eV per atom): -6.0388

[6]
## LaSiPt2 (PBE-GGA)

Data for a relaxed LaSiPt2 crystal.

Cell and atoms, written as extended XYZ:
```
4
Lattice="3.647 -2.104 0.000 3.647 2.104 0.000 -2.439 0.000 5.339" Properties=species:S:1:pos:R:3 pbc="T T T"
La 0.000 0.000 0.000
Si 2.427 0.000 2.670
Pt -0.004 0.000 3.358
Pt 4.858 0.000 1.981
```

Computed properties:
Symmetry: C2/m
Calculated total energy (eV per atom): -6.6430

[7]
## LaSi12Pt4 (PBE-GGA)

Data for a relaxed LaSi12Pt4 crystal.

Cell and atoms, written as extended XYZ:
```
17
Lattice="-4.202 4.202 4.202 4.202 -4.202 4.202 4.202 4.202 -4.202" Properties=species:S:1:pos:R:3 pbc="T T T"
La 0.000 0.000 0.000
Si 3.018 1.248 0.000
Si 5.386 1.248 0.000
Si 4.202 -1.184 2.954
Si 2.954 4.202 -1.184
Si 1.248 0.000 3.018
Si 4.202 1.184 2.954
Si 0.000 3.018 1.248
Si 2.954 4.202 1.184
Si 1.248 0.000 5.386
Si 0.000 5.386 1.248
Si -1.184 2.954 4.202
Si 1.184 2.954 4.202
Pt 2.101 2.101 -2.101
Pt 2.101 -2.101 2.101
Pt -2.101 2.101 2.101
Pt 2.101 2.101 2.101
```

Computed properties:
Symmetry: Im-3
Calculated total energy (eV per atom): -6.0197

[8]
## LaSiPt2 (PBE-GGA)

Data for a relaxed LaSiPt2 crystal.

Cell and atoms, written as extended XYZ:
```
4
Lattice="4.573 0.000 0.000 0.000 4.573 0.000 0.000 0.000 3.793" Properties=species:S:1:pos:R:3 pbc="T T T"
La 0.000 0.000 0.000
Si 2.287 2.287 0.000
Pt 0.000 2.287 1.896
Pt 2.287 0.000 1.896
```

Computed properties:
Symmetry: P4/mmm
Calculated total energy (eV per atom): -6.1547

[9]
## La2SiPt3 (PBE-GGA)

Data for a relaxed La2SiPt3 crystal.

Cell and atoms, written as extended XYZ:
```
6
Lattice="4.012 0.000 0.000 0.000 4.298 0.000 0.000 0.000 7.835" Properties=species:S:1:pos:R:3 pbc="T T T"
La 0.000 0.000 0.000
La 0.000 2.149 3.789
Si 2.006 2.149 6.371
Pt 2.006 0.000 2.615
Pt 2.006 0.000 5.333
Pt 2.006 2.149 0.922
```

Computed properties:
Symmetry: Pmm2
Calculated total energy (eV per atom): -6.6990

[10]
## LaSi3Pt (PBE-GGA)

Data for a relaxed LaSi3Pt crystal.

Cell and atoms, written as extended XYZ:
```
5
Lattice="5.316 0.000 0.000 0.000 5.316 0.000 0.000 0.000 5.316" Properties=species:S:1:pos:R:3 pbc="T T T"
La 0.000 0.000 0.000
Si 0.000 0.000 2.658
Si 0.000 2.658 0.000
Si 2.658 0.000 0.000
Pt 2.658 2.658 2.658
```

Computed properties:
Symmetry: Pm-3m
Calculated total energy (eV per atom): -3.6297

[11]
## LaSi4Pt12 (PBE-GGA)

Data for a relaxed LaSi4Pt12 crystal.

Cell and atoms, written as extended XYZ:
```
17
Lattice="-4.221 4.221 4.221 4.221 -4.221 4.221 4.221 4.221 -4.221" Properties=species:S:1:pos:R:3 pbc="T T T"
La 0.000 0.000 0.000
Si 2.111 2.111 -2.111
Si 2.111 -2.111 2.111
Si -2.111 2.111 2.111
Si 2.111 2.111 2.111
Pt 2.886 0.000 1.377
Pt 5.557 0.000 1.377
Pt 4.221 2.845 -1.336
Pt 1.377 2.886 0.000
Pt 2.845 -1.336 4.221
Pt 4.221 2.845 1.336
Pt 0.000 1.377 2.886
Pt 1.377 5.557 0.000
Pt 2.845 1.336 4.221
Pt 0.000 1.377 5.557
Pt -1.336 4.221 2.845
Pt 1.336 4.221 2.845
```

Computed properties:
Symmetry: Im-3
Calculated total energy (eV per atom): -6.3053

[12]
## LaSiPt (PBE-GGA)

Data for a relaxed LaSiPt crystal.

Cell and atoms, written as extended XYZ:
```
3
Lattice="4.222 0.000 0.000 -2.111 3.657 0.000 0.000 0.000 4.367" Properties=species:S:1:pos:R:3 pbc="T T T"
La 0.000 0.000 0.000
Si 0.000 2.438 2.183
Pt 2.111 1.219 2.183
```

Computed properties:
Symmetry: P-6m2
Calculated total energy (eV per atom): -6.5991

[13]
## La3Si2Pt (PBE-GGA)

Data for a relaxed La3Si2Pt crystal.

Cell and atoms, written as extended XYZ:
```
24
Lattice="12.053 0.000 0.000 0.000 4.409 0.000 0.000 0.000 11.941" Properties=species:S:1:pos:R:3 pbc="T T T"
La 0.713 1.102 1.449
La 1.419 3.307 6.658
La 2.523 1.102 9.624
La 3.504 3.307 3.654
La 4.608 1.102 0.688
La 5.313 3.307 7.419
La 6.740 1.102 4.522
La 7.445 3.307 11.254
La 8.549 1.102 8.288
La 9.530 3.307 2.317
La 10.634 1.102 5.283
La 11.339 3.307 10.493
Si 0.325 3.307 3.708
Si 2.381 3.307 11.874
Si 3.646 1.102 5.904
Si 5.701 1.102 9.678
Si 6.352 3.307 2.263
Si 8.407 3.307 6.037
Si 9.672 1.102 0.067
Si 11.727 1.102 8.233
Pt 1.539 1.102 4.365
Pt 4.488 3.307 10.336
Pt 7.565 1.102 1.605
Pt 10.514 3.307 7.576
```

Computed properties:
Symmetry: Pnma
Calculated total energy (eV per atom): -6.1483

[14]
## LaSiPt (PBE-GGA)

Data for a relaxed LaSiPt crystal.

Cell and atoms, written as extended XYZ:
```
3
Lattice="0.000 3.412 3.412 3.412 0.000 3.412 3.412 3.412 0.000" Properties=species:S:1:pos:R:3 pbc="T T T"
La 0.000 0.000 0.000
Si 1.706 1.706 1.706
Pt 5.118 5.118 5.118
```

Computed properties:
Symmetry: F-43m
Calculated total energy (eV per atom): -5.4738

[15]
## La2SmSi3Pt12 (PBE-GGA)

Data for a relaxed La2SmSi3Pt12 crystal.

Cell and atoms, written as extended XYZ:
```
18
Lattice="4.181 2.414 6.106 -4.181 2.414 6.106 0.000 -4.827 6.106" Properties=species:S:1:pos:R:3 pbc="T T T"
La 0.000 0.000 1.828
La 0.000 0.000 16.490
Sm 0.000 0.000 9.159
Si -2.090 -1.207 6.106
Si -2.090 1.207 12.212
Si 0.000 2.414 6.106
Pt -2.309 -1.333 8.467
Pt 0.000 -2.159 5.517
Pt -1.870 1.079 5.517
Pt 0.000 -2.667 9.850
Pt -2.309 1.333 9.850
Pt -1.870 -1.079 12.801
Pt 1.870 1.079 5.517
Pt 2.309 -1.333 8.467
Pt 0.000 2.667 8.467
Pt 1.870 -1.079 12.801
Pt 0.000 2.159 12.801
Pt 2.309 1.333 9.850
```

Computed properties:
Symmetry: R-3m
Calculated total energy (eV per atom): -6.3088

[16]
## La2Si4SnPt3 (PBE-GGA)

Data for a relaxed La2Si4SnPt3 crystal.

Cell and atoms, written as extended XYZ:
```
10
Lattice="4.345 0.000 0.000 0.000 4.345 0.000 0.000 0.000 10.254" Properties=species:S:1:pos:R:3 pbc="T T T"
La 0.000 2.173 2.437
La 2.173 0.000 7.816
Si 0.000 0.000 0.000
Si 0.000 2.173 6.688
Si 2.173 0.000 3.566
Si 2.173 2.173 0.000
Sn 0.000 0.000 5.127
Pt 0.000 2.173 9.090
Pt 2.173 0.000 1.163
Pt 2.173 2.173 5.127
```

Computed properties:
Symmetry: P-4m2
Calculated total energy (eV per atom): -6.3105

[17]
## La2TaSi4Pt3 (PBE-GGA)

Data for a relaxed La2TaSi4Pt3 crystal.

Cell and atoms, written as extended XYZ:
```
10
Lattice="4.272 0.000 0.000 0.000 4.272 0.000 0.000 0.000 10.352" Properties=species:S:1:pos:R:3 pbc="T T T"
La 0.000 2.136 2.456
La 2.136 0.000 7.896
Ta 0.000 0.000 5.176
Si 0.000 0.000 0.000
Si 0.000 2.136 6.648
Si 2.136 0.000 3.704
Si 2.136 2.136 0.000
Pt 0.000 2.136 9.144
Pt 2.136 0.000 1.208
Pt 2.136 2.136 5.176
```

Computed properties:
Symmetry: P-4m2
Calculated total energy (eV per atom): -7.1432

[18]
## LaTbSi2Pt5 (PBE-GGA)

Data for a relaxed LaTbSi2Pt5 crystal.

Cell and atoms, written as extended XYZ:
```
9
Lattice="4.276 0.000 0.000 0.000 4.276 0.000 0.000 0.000 8.990" Properties=species:S:1:pos:R:3 pbc="T T T"
La 0.000 0.000 0.000
Tb 0.000 0.000 4.495
Si 2.138 2.138 3.309
Si 2.138 2.138 5.681
Pt 0.000 2.138 2.184
Pt 0.000 2.138 6.806
Pt 2.138 0.000 2.184
Pt 2.138 0.000 6.806
Pt 2.138 2.138 0.000
```

Computed properties:
Symmetry: P4/mmm
Calculated total energy (eV per atom): -6.6603

[19]
## La2Si4TcPt3 (PBE-GGA)

Data for a relaxed La2Si4TcPt3 crystal.

Cell and atoms, written as extended XYZ:
```
10
Lattice="4.280 0.000 0.000 0.000 4.280 0.000 0.000 0.000 9.989" Properties=species:S:1:pos:R:3 pbc="T T T"
La 0.000 2.140 2.439
La 2.140 0.000 7.550
Si 0.000 0.000 0.000
Si 0.000 2.140 6.237
Si 2.140 0.000 3.752
Si 2.140 2.140 0.000
Tc 0.000 0.000 4.994
Pt 0.000 2.140 8.759
Pt 2.140 0.000 1.230
Pt 2.140 2.140 4.994
```

Computed properties:
Symmetry: P-4m2
Calculated total energy (eV per atom): -7.0576

[20]
## La2ThSi3Pt4 (PBE-GGA)

Data for a relaxed La2ThSi3Pt4 crystal.

Cell and atoms, written as extended XYZ:
```
10
Lattice="4.364 0.000 0.000 0.000 4.364 0.000 0.000 0.000 11.001" Properties=species:S:1:pos:R:3 pbc="T T T"
La 0.000 2.182 2.477
La 2.182 0.000 8.524
Th 0.000 0.000 5.500
Si 0.000 2.182 9.771
Si 2.182 0.000 1.230
Si 2.182 2.182 5.500
Pt 0.000 0.000 0.000
Pt 0.000 2.182 7.364
Pt 2.182 0.000 3.636
Pt 2.182 2.182 0.000
```

Computed properties:
Symmetry: P-4m2
Calculated total energy (eV per atom): -6.8049

no.,mass density (g cm⁻³)
1,6.94
2,9.44
3,9.53
4,10.80
5,11.80
6,11.29
7,7.03
8,11.66
9,10.95
10,4.62
11,14.30
12,8.92
13,6.99
14,7.57
15,12.82
16,9.38
17,10.16
18,13.43
19,9.74
20,10.89